[1]
# LaPH | Alexandria | PBE-GGA | optimized geometry
data_LaPH
_chemical_formula_sum 'La6 P6 H6'
_space_group_name_H-M_alt 'R -3 m'
_space_group_IT_number 166
_space_group_name_Hall '-R 3 2"'
_cell_length_a 4.6839
_cell_length_b 4.6839
_cell_length_c 21.1257
_cell_angle_alpha 90.00
_cell_angle_beta 90.00
_cell_angle_gamma 120.00
loop_
_atom_site_label
_atom_site_type_symbol
_atom_site_fract_x
_atom_site_fract_y
_atom_site_fract_z
La1 La 0.0000 0.0000 0.2452
P1 P 0.0000 0.0000 0.3807
H1 H 0.0000 0.0000 0.1284
# **DOS(E_F)**: 3.07 states/eV/f.u.
# **Magnetization**: 0.0 μB per formula unit
# **E**: -0.369 Ry per atom

=====

[2]
# La12P3H5 | Alexandria | PBE-GGA | optimized geometry
data_La12P3H5
_chemical_formula_sum 'La96 P24 H40'
_space_group_name_H-M_alt 'I a -3 d'
_space_group_IT_number 230
_space_group_name_Hall '-I 4bd 2c 3'
_cell_length_a 15.8801
_cell_length_b 15.8801
_cell_length_c 15.8801
_cell_angle_alpha 90.00
_cell_angle_beta 90.00
_cell_angle_gamma 90.00
loop_
_atom_site_label
_atom_site_type_symbol
_atom_site_fract_x
_atom_site_fract_y
_atom_site_fract_z
La1 La 0.0340 0.0654 0.6554
P1 P 0.0000 0.2500 0.1250
H1 H 0.0000 0.0000 0.0000
H2 H 0.0000 0.2500 0.3750
# **DOS(E_F)**: 19.34 states/eV/f.u.
# **Magnetization**: 0.0 μB per formula unit
# **E**: -0.380 Ry per atom

=====

[3]
# La2PH | Alexandria | PBE-GGA | optimized geometry
data_La2PH
_chemical_formula_sum 'La8 P4 H4'
_space_group_name_H-M_alt 'I -4 2 d'
_space_group_IT_number 122
_space_group_name_Hall 'I -4 2bw'
_cell_length_a 7.0629
_cell_length_b 7.0629
_cell_length_c 7.3575
_cell_angle_alpha 90.00
_cell_angle_beta 90.00
_cell_angle_gamma 90.00
loop_
_atom_site_label
_atom_site_type_symbol
_atom_site_fract_x
_atom_site_fract_y
_atom_site_fract_z
La1 La 0.1957 0.2500 0.1250
P1 P 0.0000 0.0000 0.5000
H1 H 0.0000 0.0000 0.0000
# **DOS(E_F)**: 2.07 states/eV/f.u.
# **Magnetization**: 0.0 μB per formula unit
# **E**: -0.405 Ry per atom

=====

[4]
# La5P4H | Alexandria | PBE-GGA | optimized geometry
data_La5P4H
_chemical_formula_sum 'La15 P12 H3'
_space_group_name_H-M_alt 'R -3 m'
_space_group_IT_number 166
_space_group_name_Hall '-R 3 2"'
_cell_length_a 4.2279
_cell_length_b 4.2279
_cell_length_c 50.5031
_cell_angle_alpha 90.00
_cell_angle_beta 90.00
_cell_angle_gamma 120.00
loop_
_atom_site_label
_atom_site_type_symbol
_atom_site_fract_x
_atom_site_fract_y
_atom_site_fract_z
La1 La 0.0000 0.0000 0.0000
La2 La 0.0000 0.0000 0.1975
La3 La 0.0000 0.0000 0.4019
P1 P 0.0000 0.0000 0.1049
P2 P 0.0000 0.0000 0.2984
H1 H 0.0000 0.0000 0.5000
# **DOS(E_F)**: 4.98 states/eV/f.u.
# **Magnetization**: 0.8 μB per formula unit
# **E**: -0.463 Ry per atom